Computed, not measured: a geometry-optimized CsMgCdPb structure at the PBE level of DFT.

Properties
energy relative to the elements	-0.04	eV/atom
M_tot	0.00	μB per formula unit
theoretical density	6.1	Mg/m³
DFT total energy	-7.249	eV per cell

Unit cell a=3.728 b=3.728 c=9.368 alpha=90.00 beta=90.00 gamma=89.99
Sites, in units of the cell vectors:
Pb 0.146 0.854 0.289
Cs 0.646 0.354 0.966
Mg 0.646 0.354 0.480
Cd 0.146 0.854 0.654

=====

Computed, not measured: a geometry-optimized CaPW structure at the PBE level of DFT.

Properties
energy relative to the elements	-0.16	eV/atom
offset from the most stable computed form	296.5	meV/atom
M_tot	0.00	μB per formula unit
theoretical density	7.3	Mg/m³
DFT total energy	-20.855	eV per cell

Unit cell a=5.934 b=5.934 c=3.249 alpha=74.11 beta=74.11 gamma=31.77
Sites, in units of the cell vectors:
W 0.708 0.708 0.292
P 0.293 0.293 0.707
Ca 0.000 0.000 0.000

=====

Computed, not measured: a geometry-optimized SrCdBi structure at the PBE level of DFT.

Properties
energy relative to the elements	0.00	eV/atom
offset from the most stable computed form	553.6	meV/atom
M_tot	0.00	μB per formula unit
theoretical density	6.2	Mg/m³
DFT total energy	-6.487	eV per cell

Unit cell a=3.554 b=3.554 c=8.997 alpha=101.39 beta=101.39 gamma=90.00
Sites, in units of the cell vectors:
Cd 0.773 0.773 0.545
Bi 0.943 0.943 0.887
Sr 0.134 0.134 0.268

=====

Computed, not measured: a geometry-optimized CaS2I structure at the PBE level of DFT.

Properties
raw formation energy	-0.77	eV per atom
offset from the most stable computed form	0.0	meV/atom
M_tot	0.00	μB per formula unit
theoretical density	3.1	Mg/m³
DFT total energy	-14.877	eV per cell

Unit cell a=8.363 b=8.363 c=8.363 alpha=29.17 beta=29.17 gamma=29.17
Sites, in units of the cell vectors:
I 0.000 0.000 0.000
S 0.893 0.893 0.893
Ca 0.500 0.500 0.500
S 0.107 0.107 0.107

=====

Computed, not measured: a geometry-optimized ZrScIn3 structure at the PBE level of DFT.

Properties
energy relative to the elements	-0.30	eV/atom
offset from the most stable computed form	0.0	meV/atom
M_tot	0.00	μB per formula unit
theoretical density	7.0	Mg/m³
DFT total energy	-98.416	eV per cell

Unit cell a=6.224 b=7.736 c=10.854 alpha=118.74 beta=90.00 gamma=90.00
Sites, in units of the cell vectors:
In 0.382 0.200 0.547
In 0.124 0.591 0.659
In 0.376 0.591 0.159
Zr 0.877 0.189 0.519
Sc 0.380 0.390 0.340
Sc 0.120 0.390 0.840
In 0.857 0.011 0.739
In 0.143 0.989 0.261
In 0.624 0.409 0.841
Sc 0.880 0.610 0.160
In 0.618 0.800 0.453
Sc 0.620 0.610 0.660
In 0.876 0.409 0.341
Zr 0.123 0.811 0.481
In 0.357 0.989 0.761
In 0.643 0.011 0.239
In 0.118 0.200 0.047
In 0.882 0.800 0.953
Zr 0.377 0.811 0.981
Zr 0.623 0.189 0.019

=====

Computed, not measured: a geometry-optimized ReMo structure at the PBE level of DFT.

Properties
energy relative to the elements	0.11	eV/atom
offset from the most stable computed form	12.6	meV/atom
M_tot	0.00	μB per formula unit
theoretical density	15.2	Mg/m³
DFT total energy	-69.207	eV per cell

Unit cell a=5.164 b=5.164 c=6.343 alpha=72.04 beta=72.04 gamma=35.33
Sites, in units of the cell vectors:
Mo 0.162 0.162 0.664
Re 0.172 0.172 0.168
Mo 0.838 0.838 0.336
Re 0.500 0.500 0.000
Mo 0.500 0.500 0.500
Re 0.828 0.828 0.832

=====

Computed, not measured: a geometry-optimized CePm6Pr2 structure at the PBE level of DFT.

Properties
energy relative to the elements	0.15	eV/atom
M_tot	0.99	μB per formula unit
theoretical density	6.8	Mg/m³
DFT total energy	-85.292	eV per cell

Unit cell a=7.082 b=8.927 c=15.805 alpha=140.98 beta=90.00 gamma=90.00
Sites, in units of the cell vectors:
Pm 0.000 0.750 0.162
Ce 0.500 0.500 0.000
Pr 0.500 0.184 0.223
Pm 0.261 0.766 0.560
Pm 0.261 0.234 0.439
Pm 0.761 0.266 0.061
Pr 0.000 0.684 0.723
Pm 0.000 0.250 0.838
Pm 0.739 0.234 0.440
Pr 0.000 0.316 0.277
Pm 0.500 0.750 0.338
Pm 0.761 0.734 0.940
Pr 0.500 0.816 0.777
Ce 0.000 0.000 0.500
Pm 0.239 0.734 0.939
Pm 0.239 0.266 0.060
Pm 0.739 0.766 0.561
Pm 0.500 0.250 0.662

=====

Computed, not measured: a geometry-optimized Mg4C structure at the PBE level of DFT.

Properties
energy relative to the elements	0.27	eV/atom
offset from the most stable computed form	0.0	meV/atom
M_tot	0.00	μB per formula unit
theoretical density	2.0	Mg/m³
DFT total energy	-14.270	eV per cell

Unit cell a=4.512 b=4.512 c=4.512 alpha=90.00 beta=90.00 gamma=90.00
Sites, in units of the cell vectors:
Mg 0.000 0.000 0.000
Mg 0.500 0.000 0.500
C 0.500 0.500 0.500
Mg 0.000 0.500 0.500
Mg 0.500 0.500 0.000